Density functional theory data (PBE-GGA) for crystalline Ir15Pb at its relaxed geometry.

Structure (POSCAR):
```
Ir15Pb
1.0
-7.640 0.800 0.966
-2.688 -42.277 13.754
0.584 1.155 3.664
Ir Pb
60 4
direct
0.885 0.677 0.000
0.125 0.935 0.500
0.625 0.760 0.500
0.129 0.718 0.000
0.374 0.804 0.500
0.625 0.848 0.500
0.875 0.761 0.000
0.375 0.891 0.500
0.125 0.978 0.000
0.375 0.978 0.500
0.375 0.152 0.500
0.875 0.022 0.000
0.625 0.935 0.500
0.126 0.848 0.500
0.375 0.240 0.500
0.874 0.152 0.500
0.625 0.891 0.000
0.375 0.109 0.000
0.876 0.195 0.000
0.875 0.935 0.000
0.125 0.065 0.000
0.125 0.022 0.500
0.375 0.935 0.000
0.876 0.805 0.500
0.115 0.323 0.000
0.375 0.065 0.500
0.875 0.891 0.500
0.126 0.152 0.000
0.626 0.196 0.500
0.871 0.718 0.500
0.622 0.718 0.000
0.625 0.022 0.500
0.125 0.891 0.000
0.378 0.718 0.500
0.875 0.978 0.500
0.375 0.022 0.000
0.129 0.282 0.500
0.115 0.677 0.500
0.625 0.152 0.000
0.874 0.848 0.000
0.875 0.065 0.500
0.622 0.282 0.500
0.875 0.239 0.500
0.378 0.282 0.000
0.124 0.195 0.500
0.625 0.240 0.000
0.625 0.065 0.000
0.626 0.804 0.000
0.124 0.805 0.000
0.125 0.761 0.500
0.885 0.323 0.500
0.625 0.109 0.500
0.875 0.109 0.000
0.625 0.978 0.000
0.125 0.239 0.000
0.375 0.760 0.000
0.374 0.196 0.000
0.871 0.282 0.000
0.375 0.848 0.000
0.125 0.109 0.500
0.321 0.653 0.000
0.679 0.653 0.500
0.321 0.347 0.500
0.679 0.347 0.000
```

Summary:
DFT total energy = -8.440 eV/atom
Energy relative to the lowest polymorph listed for this composition = 6 meV/atom

---

Density functional theory data (PBE-GGA) for crystalline Ir15Pb at its relaxed geometry.

Structure (POSCAR):
```
Ir15Pb
1.0
-2.000 -4.896 1.365
3.311 -1.659 -1.098
13.015 3.960 33.262
Ir Pb
30 2
direct
0.125 0.000 0.290
0.375 0.500 0.481
0.875 0.500 0.481
0.375 0.500 0.633
0.875 0.500 0.328
0.625 0.000 0.367
0.871 0.500 0.253
0.375 0.500 0.329
0.625 0.000 0.443
0.129 0.000 0.747
0.125 0.000 0.519
0.625 0.000 0.216
0.125 0.000 0.366
0.375 0.500 0.784
0.375 0.500 0.557
0.875 0.500 0.710
0.125 0.000 0.596
0.875 0.500 0.558
0.625 0.000 0.291
0.625 0.000 0.671
0.125 0.000 0.442
0.125 0.000 0.672
0.625 0.000 0.519
0.620 0.000 0.747
0.875 0.500 0.634
0.375 0.500 0.405
0.875 0.500 0.404
0.375 0.500 0.709
0.380 0.500 0.253
0.625 0.000 0.595
0.875 0.500 0.802
0.125 0.000 0.198
```

Summary:
DFT total energy = -8.401 eV/atom
Energy relative to the lowest polymorph listed for this composition = 45 meV/atom

---

Density functional theory data (PBE-GGA) for crystalline Ir15Pb at its relaxed geometry.

Structure (POSCAR):
```
Ir15Pb
1.0
-2.783 2.579 -2.821
-18.983 -29.383 -8.130
-1.797 -0.049 4.374
Ir Pb
30 2
direct
0.500 0.328 0.250
0.000 0.748 0.250
0.500 0.710 0.250
0.500 0.217 0.750
0.500 0.783 0.250
0.500 0.252 0.250
0.500 0.405 0.250
0.500 0.595 0.750
0.000 0.519 0.250
0.500 0.748 0.750
0.500 0.634 0.250
0.000 0.710 0.750
0.000 0.443 0.250
0.000 0.481 0.750
0.000 0.633 0.750
0.500 0.672 0.750
0.000 0.595 0.250
0.500 0.290 0.750
0.000 0.557 0.750
0.500 0.481 0.250
0.000 0.328 0.750
0.000 0.405 0.750
0.500 0.557 0.250
0.000 0.252 0.750
0.500 0.443 0.750
0.000 0.290 0.250
0.500 0.366 0.750
0.500 0.519 0.750
0.000 0.672 0.250
0.000 0.367 0.250
0.000 0.804 0.750
0.000 0.196 0.250
```

Summary:
DFT total energy = -8.410 eV/atom
Energy relative to the lowest polymorph listed for this composition = 36 meV/atom

---

Density functional theory data (PBE-GGA) for crystalline Tb2PrIrPd2Pb3 at its relaxed geometry.

Structure (POSCAR):
```
Tb2PrIrPd2Pb3
1.0
-2.571 2.961 -0.083
-5.687 -4.867 2.509
4.404 3.970 5.212
Tb Ir Pr Pb Pd
2 1 1 3 2
direct
0.000 0.000 0.600
0.000 0.600 0.000
0.000 0.997 0.997
0.000 0.403 0.403
0.500 0.261 0.997
0.500 0.739 0.739
0.500 0.997 0.261
0.500 0.672 0.331
0.500 0.331 0.672
```

Summary:
DFT total energy = -5.592 eV/atom

---

Density functional theory data (PBE-GGA) for crystalline SrIrPdPb2 at its relaxed geometry.

Structure (POSCAR):
```
SrIrPdPb2
1.0
4.879 0.000 0.000
0.000 4.879 0.000
0.000 0.000 10.587
Sr Ir Pd Pb
2 2 2 4
direct
0.000 0.500 0.756
0.500 0.000 0.244
0.000 0.500 0.374
0.500 0.000 0.626
0.500 0.500 0.000
0.000 0.000 0.000
0.000 0.000 0.500
0.500 0.500 0.500
0.500 0.000 0.879
0.000 0.500 0.121
```

Summary:
DFT total energy = -4.909 eV/atom

---

Density functional theory data (PBE-GGA) for crystalline Tb2YIrPd2Pb3 at its relaxed geometry.

Structure (POSCAR):
```
Tb2YIrPd2Pb3
1.0
3.906 0.000 0.000
0.000 6.761 3.902
0.000 -6.761 3.902
Pd Ir Pb Y Tb
2 1 3 1 2
direct
0.500 0.333 0.667
0.500 0.667 0.333
0.000 0.000 0.000
0.500 0.000 0.265
0.500 0.265 0.000
0.500 0.735 0.735
0.000 0.396 0.396
0.000 0.603 0.000
0.000 0.000 0.603
```

Summary:
DFT total energy = -5.793 eV/atom

---

Density functional theory data (PBE-GGA) for crystalline PmIrPb at its relaxed geometry.

Structure (POSCAR):
```
PmIrPb
1.0
-4.712 0.192 1.002
-3.159 1.108 -3.470
-2.971 -3.383 -1.725
Pb Ir Pm
1 1 1
direct
0.000 0.000 0.000
0.250 0.250 0.250
0.750 0.750 0.750
```

Summary:
DFT total energy = -5.575 eV/atom

---

Density functional theory data (PBE-GGA) for crystalline Pr5Ir2Pb at its relaxed geometry.

Structure (POSCAR):
```
Pr5Ir2Pb
1.0
-4.048 4.048 7.093
4.048 -4.048 7.093
4.048 4.048 -7.093
Pr Ir Pb
10 4 2
direct
0.792 0.292 0.820
0.292 0.472 0.500
0.000 0.000 0.000
0.500 0.500 0.000
0.972 0.792 0.500
0.472 0.972 0.180
0.028 0.208 0.500
0.528 0.028 0.820
0.208 0.708 0.180
0.708 0.528 0.500
0.861 0.361 0.222
0.361 0.139 0.500
0.139 0.639 0.778
0.639 0.861 0.500
0.250 0.250 0.000
0.750 0.750 0.000
```

Summary:
DFT total energy = -6.233 eV/atom

---

Density functional theory data (PBE-GGA) for crystalline Pr3SnIrPt2Pb2 at its relaxed geometry.

Structure (POSCAR):
```
Pr3SnIrPt2Pb2
1.0
-0.673 -3.674 -1.819
-5.962 -1.299 4.832
-1.170 3.585 -6.808
Pr Ir Pt Sn Pb
3 1 2 1 2
direct
0.000 0.591 0.998
0.000 0.998 0.591
0.000 0.410 0.410
0.000 0.986 0.986
0.500 0.670 0.345
0.500 0.345 0.670
0.500 0.749 0.749
0.500 0.999 0.252
0.500 0.252 0.999
```

Summary:
DFT total energy = -6.019 eV/atom

---

Density functional theory data (PBE-GGA) for crystalline IrPtPb2 at its relaxed geometry.

Structure (POSCAR):
```
IrPtPb2
1.0
-3.871 -1.546 2.554
-3.396 3.197 1.467
-4.434 -0.027 -2.059
Pt Pb Ir
1 2 1
direct
0.000 0.000 0.000
0.500 0.500 0.500
0.250 0.250 0.250
0.750 0.750 0.750
```

Summary:
DFT total energy = -5.112 eV/atom

---

Density functional theory data (PBE-GGA) for crystalline IrPt2Pb at its relaxed geometry.

Structure (POSCAR):
```
IrPt2Pb
1.0
0.000 3.264 3.264
3.264 0.000 3.264
3.264 3.264 0.000
Pb Pt Ir
1 2 1
direct
0.500 0.500 0.500
0.000 0.000 0.000
0.750 0.750 0.750
0.250 0.250 0.250
```

Summary:
DFT total energy = -5.889 eV/atom

---

Density functional theory data (PBE-GGA) for crystalline RbIr3Pb5 at its relaxed geometry.

Structure (POSCAR):
```
RbIr3Pb5
1.0
5.758 0.000 0.000
-2.879 4.986 0.000
0.000 0.000 8.636
Rb Pb Ir
1 5 3
direct
0.000 0.000 0.000
0.333 0.667 0.767
0.333 0.667 0.233
0.667 0.333 0.767
0.000 0.000 0.500
0.667 0.333 0.233
0.500 0.500 0.500
0.500 0.000 0.500
0.000 0.500 0.500
```

Summary:
DFT total energy = -5.030 eV/atom

---

> The highest DFT total energy belongs to which entry?

SrIrPdPb2